TiWS2N: relaxed, GGA-PBE.

abc: 4.7976 4.7976 3.6305
angles: 90.00 90.00 90.00
Last column: nearest neighbours and their distance in Å.
Atoms (fractional coordinates):
Ti: 0.0000 0.0000 0.0000  2 N 1.82
W: 0.5000 0.5000 0.5000  8 S 3.01
S: 0.0000 0.5000 0.0000  2 Ti 2.40
S: 0.5000 0.0000 0.0000  2 Ti 2.40
N: 0.0000 0.0000 0.5000  2 Ti 1.82

Properties
**Calculated volume**: 16.71 Å³/atom
**M_tot**: 3.0 Bohr magnetons per cell
**Formation energy from raw total energies**: 0.55 eV per atom

=====

SmMg3Cd3: relaxed, GGA-PBE.

abc: 8.7617 8.7617 8.7617
angles: 90.00 90.00 90.00
Last column: nearest neighbours and their distance in Å.
Atoms (fractional coordinates):
Sm: 0.0494 0.4506 0.5494  6 Cd 3.24-3.33, 4 Mg 3.30-3.35
Sm: 0.4506 0.5494 0.0494  6 Cd 3.24-3.33, 4 Mg 3.30-3.35
Sm: 0.5494 0.0494 0.4506  6 Cd 3.24-3.33, 4 Mg 3.30-3.35
Sm: 0.9506 0.9506 0.9506  6 Cd 3.24-3.33, 4 Mg 3.30-3.35
Mg: 0.1293 0.6293 0.8707  6 Cd 2.98-3.11, 1 Mg 3.03, 3 Sm 3.30
Mg: 0.1713 0.1713 0.1713  6 Cd 3.01-3.03, 1 Mg 3.03, 1 Sm 3.35
Mg: 0.1923 0.8077 0.3077  6 Cd 2.95-3.09
Mg: 0.3077 0.1923 0.8077  6 Cd 2.95-3.09
Mg: 0.3287 0.8287 0.6713  6 Cd 3.01-3.03, 1 Mg 3.03, 1 Sm 3.35
Mg: 0.3707 0.3707 0.3707  6 Cd 2.98-3.11, 1 Mg 3.03, 3 Sm 3.30
Mg: 0.6293 0.8707 0.1293  6 Cd 2.98-3.11, 1 Mg 3.03, 3 Sm 3.30
Mg: 0.6713 0.3287 0.8287  6 Cd 3.01-3.03, 1 Mg 3.03, 1 Sm 3.35
Mg: 0.6923 0.6923 0.6923  6 Cd 2.95-3.09
Mg: 0.8077 0.3077 0.1923  6 Cd 2.95-3.09
Mg: 0.8287 0.6713 0.3287  6 Cd 3.01-3.03, 1 Mg 3.03, 1 Sm 3.35
Mg: 0.8707 0.1293 0.6293  6 Cd 2.98-3.11, 1 Mg 3.03, 3 Sm 3.30
Cd: 0.0073 0.3129 0.9012  6 Mg 2.95-3.11, 2 Cd 3.13, 1 Sm 3.24
Cd: 0.0988 0.5073 0.1871  6 Mg 2.95-3.11, 2 Cd 3.13, 1 Sm 3.24
Cd: 0.1871 0.0988 0.5073  6 Mg 2.95-3.11, 2 Cd 3.13, 1 Sm 3.24
Cd: 0.3129 0.9012 0.0073  6 Mg 2.95-3.11, 2 Cd 3.13, 1 Sm 3.24
Cd: 0.4012 0.4927 0.6871  6 Mg 2.95-3.11, 2 Cd 3.13, 1 Sm 3.24
Cd: 0.4927 0.6871 0.4012  6 Mg 2.95-3.11, 2 Cd 3.13, 1 Sm 3.24
Cd: 0.5073 0.1871 0.0988  6 Mg 2.95-3.11, 2 Cd 3.13, 1 Sm 3.24
Cd: 0.5988 0.9927 0.8129  6 Mg 2.95-3.11, 2 Cd 3.13, 1 Sm 3.24
Cd: 0.6871 0.4012 0.4927  6 Mg 2.95-3.11, 2 Cd 3.13, 1 Sm 3.24
Cd: 0.8129 0.5988 0.9927  6 Mg 2.95-3.11, 2 Cd 3.13, 1 Sm 3.24
Cd: 0.9012 0.0073 0.3129  6 Mg 2.95-3.11, 2 Cd 3.13, 1 Sm 3.24
Cd: 0.9927 0.8129 0.5988  6 Mg 2.95-3.11, 2 Cd 3.13, 1 Sm 3.24

Properties
**ΔH_f (0 K)**: -0.131 eV per atom
**Calculated volume**: 24.02 Å³/atom
**M_tot**: 0.0 Bohr magnetons per cell

=====

Ce2H2Rh: relaxed, GGA-PBE.

abc: 5.8630 5.8630 6.1780
angles: 110.13 110.13 105.81
Last column: nearest neighbours and their distance in Å.
Atoms (fractional coordinates):
Ce: 0.0936 0.9064 0.7500  4 H 2.29-2.33
Ce: 0.3436 0.6564 0.2500  4 H 2.29-2.33
Ce: 0.6564 0.3436 0.7500  4 H 2.29-2.33
Ce: 0.9064 0.0936 0.2500  4 H 2.29-2.33
H: 0.0147 0.7644 0.0300  1 H 2.23, 4 Ce 2.29-2.33
H: 0.2356 0.9853 0.4700  1 H 2.23, 4 Ce 2.29-2.33
H: 0.7644 0.0147 0.5300  1 H 2.23, 4 Ce 2.29-2.33
H: 0.9853 0.2356 0.9700  1 H 2.23, 4 Ce 2.29-2.33
Rh: 0.3749 0.6251 0.7500  2 Ce 2.63
Rh: 0.6251 0.3749 0.2500  2 Ce 2.63

Properties
**Calculated volume**: 16.78 Å³/atom
**DFT total energy**: -5.69 eV/atom
**M_tot**: 2.1 Bohr magnetons per cell

=====

- Which value of calculated volume does entry 2 give?
  24.02 Å³/atom